w) First-principles (GGA-PBE) data for a relaxed PrHoBi2 crystal, as listed in Alexandria.

Properties
Magnetization = 0.0 μB per formula unit
Crystal system = tetragonal

Cell lengths 3.8462, 3.8462, 8.2601 Å; angles 90.00, 90.00, 90.00 degrees
Closest atoms and distances in Å follow each position.
Positions (direct):
Pr 0.0000 0.0000 0.0000  8 Bi 3.48, 4 Pr 3.85
Ho 0.0000 0.0000 0.5000  8 Bi 3.36
Bi 0.5000 0.5000 0.2621  4 Ho 3.36, 4 Pr 3.48
Bi 0.5000 0.5000 0.7379  4 Ho 3.36, 4 Pr 3.48

x) First-principles (GGA-PBE) data for a relaxed PrHoBi2 crystal, as listed in Alexandria.

Properties
Magnetization = 0.0 μB per formula unit
Crystal system = trigonal

Cell lengths 7.8734, 7.8734, 7.8734 Å; angles 33.64, 33.64, 33.64 degrees
Closest atoms and distances in Å follow each position.
Positions (direct):
Pr 0.0000 0.0000 0.0000  6 Bi 3.27
Ho 0.5000 0.5000 0.5000  6 Bi 3.17
Bi 0.2460 0.2460 0.2460  3 Ho 3.17, 3 Pr 3.27
Bi 0.7540 0.7540 0.7540  3 Ho 3.17, 3 Pr 3.27

List of relative energies, unit meV/atom: w) 259; x) 0